Density functional theory data (PBE+U) for a relaxed WIO6 crystal.

a b c (Å): 5.5079 5.5079 4.9319
angles (deg): 96.16 96.16 126.82
Closest atoms and distances in Å follow each position.
Sites, in units of the cell vectors:
W 0.0000 0.0000 0.0000  6 O 1.92-1.99
I 0.5000 0.5000 0.5000  6 O 1.96-1.99
O 0.1191 0.3798 0.2488  1 W 1.99, 1 I 1.99
O 0.2468 0.2468 0.7525  1 W 1.92, 1 I 1.96
O 0.3798 0.1191 0.2488  1 W 1.99, 1 I 1.99
O 0.6202 0.8809 0.7512  1 W 1.99, 1 I 1.99
O 0.7532 0.7532 0.2475  1 W 1.92, 1 I 1.96
O 0.8809 0.6202 0.7512  1 W 1.99, 1 I 1.99

Calculated values
Crystal system   monoclinic
Space-group type   C2/m, No. 12
ρ   5.8 g/cm³
Total energy   -5.651 eV/atom